1.
The following is a PBE-GGA calculation of crystalline Li3Tb2PrPb3 at its relaxed geometry, from the Open Quantum Materials Database.

Properties
**Raw total energy**: -3.93 eV/atom

POSCAR file:
```
Li3Tb2PrPb3
1.0
-0.701 3.802 2.821
-3.733 -2.611 -1.468
1.019 -6.595 9.143
Pr Pb Li Tb
1 3 3 2
Cartesian
-1.711 1.664 1.391
0.509 -3.298 4.571
-2.538 -1.668 1.617
-1.888 -5.874 7.449
0.819 -5.302 7.350
0.200 -1.293 1.793
-2.213 -3.771 4.533
-1.366 -0.572 4.492
-1.038 -2.694 7.434
```



2.
The following is a PBE-GGA calculation of crystalline Li3TbPr2Pb3 at its relaxed geometry, from the Open Quantum Materials Database.

Properties
**Raw total energy**: -3.94 eV/atom

POSCAR file:
```
Li3TbPr2Pb3
1.0
4.862 0.000 0.000
-2.431 4.210 0.000
0.000 0.000 11.214
Pb Tb Li Pr
3 1 3 2
Cartesian
0.000 0.000 9.400
0.000 0.000 1.814
2.431 1.403 5.607
0.000 2.807 0.000
2.431 1.403 9.157
2.431 1.403 2.057
0.000 0.000 5.607
0.000 2.807 3.725
0.000 2.807 7.489
```



3.
The following is a PBE-GGA calculation of crystalline LiPrTe3Pb at its relaxed geometry, from the Open Quantum Materials Database.

Properties
**Raw total energy**: -4.24 eV/atom

POSCAR file:
```
LiPrTe3Pb
1.0
2.237 -7.274 0.000
2.237 7.274 0.000
0.000 0.000 11.842
Te Li Pb Pr
6 2 2 2
Cartesian
2.237 -5.172 5.069
2.237 1.313 8.881
2.237 5.172 10.989
2.237 -5.172 0.852
2.237 5.172 6.773
2.237 -1.313 2.960
2.237 6.959 8.881
2.237 -6.959 2.960
2.237 3.447 2.960
2.237 -3.447 8.881
2.237 0.000 0.000
2.237 0.000 5.921
```



4.
The following is a PBE-GGA calculation of crystalline Li6PtPb at its relaxed geometry, from the Open Quantum Materials Database.

Properties
**Raw total energy**: -2.99 eV/atom

POSCAR file:
```
Li6PtPb
1.0
-1.945 -3.214 -2.352
2.436 -3.031 2.127
-4.482 -0.511 4.404
Pb Li Pt
1 6 1
Cartesian
0.000 0.000 0.000
-2.037 -1.887 4.262
-2.200 -1.747 0.030
0.245 -3.123 -0.113
-0.009 -1.656 2.270
-2.241 -0.255 2.202
-4.227 -1.978 2.022
-1.996 -3.378 2.089
```



5.
The following is a PBE-GGA calculation of crystalline LiPt3Pb5 at its relaxed geometry, from the Open Quantum Materials Database.

Properties
**Raw total energy**: -4.39 eV/atom

POSCAR file:
```
LiPt3Pb5
1.0
5.675 0.000 0.000
-2.838 4.915 0.000
0.000 0.000 8.495
Pb Li Pt
5 1 3
Cartesian
0.000 0.000 4.248
0.000 3.277 6.781
0.000 3.277 1.714
2.838 1.638 1.714
2.838 1.638 6.781
0.000 0.000 0.000
-1.419 2.458 4.248
1.419 2.458 4.248
2.838 0.000 4.248
```



6.
The following is a PBE-GGA calculation of crystalline Li4SbPt2Pb at its relaxed geometry, from the Open Quantum Materials Database.

Properties
**Raw total energy**: -4.02 eV/atom

POSCAR file:
```
Li4SbPt2Pb
1.0
4.518 0.000 0.000
0.000 4.518 0.000
0.000 0.000 6.416
Sb Li Pb Pt
1 4 1 2
Cartesian
0.000 0.000 3.208
0.000 0.000 0.000
2.259 2.259 3.208
2.259 0.000 1.656
0.000 2.259 4.759
2.259 2.259 0.000
0.000 2.259 1.715
2.259 0.000 4.700
```